Below is Ce2Ge3Rh at its PBEsol-relaxed geometry, with properties calculated at the SCAN level.

Results
Total magnetic moment, Bohr magnetons per cell: 1.30
E_form, eV/atom: -0.861

Cell and atoms, written as POSCAR:
```
Ce2Ge3Rh
1.0
3.967 0.000 0.000
0.000 4.239 0.000
-1.983 -2.119 7.336
Ce Ge Rh
2 3 1
direct
0.878 0.878 0.755 Ce
0.123 0.623 0.246 Ce
0.702 0.202 0.404 Ge
0.462 0.462 0.924 Ge
0.296 0.296 0.593 Ge
0.539 0.039 0.078 Rh
```